First-principles (PBE) data for an optimized crystal structure of FeSnMoIr, as listed in the Open Quantum Materials Database.

* symmetry: F-43m, No. 216
* relative energy among the computed polymorphs: 0.0000 eV per atom
* final energy: -7.852 eV per atom

Cell lengths 4.456, 4.456, 4.456 Å; angles 60.00, 60.00, 60.00 degrees
Positions (direct):
Fe  0.000  0.000  0.000
Sn  0.750  0.750  0.750
Mo  0.250  0.250  0.250
Ir  0.500  0.500  0.500

---

First-principles (PBE) data for an optimized crystal structure of Cd2N, as listed in the Open Quantum Materials Database.

* symmetry: Fd-3m, No. 227
* relative energy among the computed polymorphs: 1.1094 eV per atom
* final energy: -1.674 eV per atom

Cell lengths 5.420, 5.420, 5.420 Å; angles 60.00, 60.00, 60.00 degrees
Positions (direct):
Cd  0.000  0.000  0.000
Cd  0.000  0.000  0.500
Cd  0.000  0.500  0.000
Cd  0.500  0.000  0.000
N  0.375  0.375  0.375
N  0.625  0.625  0.625

---

First-principles (PBE) data for an optimized crystal structure of ScAs2Ir, as listed in the Open Quantum Materials Database.

* symmetry: F-43m, No. 216
* final energy: -6.335 eV per atom

Cell lengths 4.622, 4.622, 4.622 Å; angles 60.00, 60.00, 60.00 degrees
Positions (direct):
Sc  0.000  0.000  0.000
As  0.500  0.500  0.500
As  0.750  0.750  0.750
Ir  0.250  0.250  0.250

---

First-principles (PBE) data for an optimized crystal structure of Ni2As2Pb3, as listed in the Open Quantum Materials Database.

* symmetry: R3m, No. 160
* final energy: -4.373 eV per atom

Cell lengths 10.238, 10.238, 10.238 Å; angles 24.06, 24.06, 24.06 degrees
Positions (direct):
Ni  0.000  0.000  0.000
Ni  0.471  0.471  0.471
As  0.160  0.160  0.160
As  0.678  0.678  0.678
Pb  0.289  0.289  0.289
Pb  0.556  0.556  0.556
Pb  0.767  0.767  0.767

---

First-principles (PBE) data for an optimized crystal structure of Np2Mo, as listed in the Open Quantum Materials Database.

* E_form: 6.62 eV per formula unit
* symmetry: Fd-3m, No. 227
* final energy: -9.924 eV per atom

Cell lengths 8.154, 8.154, 8.154 Å; angles 60.00, 60.00, 60.00 degrees
Positions (direct):
Np  0.000  0.000  0.000
Np  0.000  0.000  0.500
Np  0.000  0.500  0.000
Np  0.500  0.000  0.000
Mo  0.125  0.125  0.125
Mo  0.875  0.875  0.875

---

First-principles (PBE) data for an optimized crystal structure of AlAgO2, as listed in the Open Quantum Materials Database.

* symmetry: Pna2_1, No. 33
* final energy: -6.011 eV per atom

Cell lengths 5.358, 6.949, 5.461 Å; angles 90.00, 90.00, 90.00 degrees
Positions (direct):
Al  0.070  0.124  0.000
Al  0.430  0.624  0.500
Al  0.570  0.376  0.000
Al  0.930  0.876  0.500
Ag  0.059  0.642  0.008
Ag  0.441  0.142  0.508
Ag  0.559  0.858  0.008
Ag  0.941  0.358  0.508
O  0.033  0.066  0.312
O  0.111  0.669  0.438
O  0.389  0.169  0.938
O  0.467  0.566  0.812
O  0.533  0.434  0.312
O  0.611  0.831  0.438
O  0.889  0.331  0.938
O  0.967  0.934  0.812

---

First-principles (PBE) data for an optimized crystal structure of ZnO2, as listed in the Open Quantum Materials Database.

* symmetry: I4/mcm, No. 140
* final energy: -4.213 eV per atom

Cell lengths 4.128, 4.128, 4.128 Å; angles 114.76, 114.76, 99.35 degrees
Positions (direct):
Zn  0.250  0.250  0.000
Zn  0.750  0.750  0.000
O  0.117  0.617  0.734
O  0.383  0.117  0.500
O  0.617  0.883  0.500
O  0.883  0.383  0.266

---

First-principles (PBE) data for an optimized crystal structure of K2LiPdF6, as listed in the Open Quantum Materials Database.

* symmetry: Fm-3m, No. 225
* relative energy among the computed polymorphs: 0.0048 eV per atom
* final energy: -4.281 eV per atom

Cell lengths 5.632, 5.632, 5.632 Å; angles 60.00, 60.00, 60.00 degrees
Positions (direct):
K  0.250  0.250  0.250
K  0.750  0.750  0.750
Li  0.000  0.000  0.000
Pd  0.500  0.500  0.500
F  0.245  0.245  0.755
F  0.245  0.755  0.245
F  0.245  0.755  0.755
F  0.755  0.245  0.245
F  0.755  0.245  0.755
F  0.755  0.755  0.245

---

First-principles (PBE) data for an optimized crystal structure of RePO5, as listed in the Open Quantum Materials Database.

* symmetry: C2/c, No. 15
* final energy: -7.902 eV per atom

Cell lengths 8.785, 8.785, 5.213 Å; angles 90.08, 90.08, 91.30 degrees
Positions (direct):
Re  0.051  0.248  0.252
Re  0.248  0.051  0.752
Re  0.752  0.949  0.248
Re  0.949  0.752  0.748
P  0.157  0.607  0.226
P  0.393  0.843  0.274
P  0.607  0.157  0.726
P  0.843  0.393  0.774
O  0.060  0.684  0.423
O  0.080  0.920  0.750
O  0.106  0.633  0.949
O  0.151  0.188  0.965
O  0.180  0.438  0.279
O  0.188  0.151  0.465
O  0.316  0.940  0.077
O  0.329  0.671  0.250
O  0.367  0.894  0.551
O  0.438  0.180  0.779
O  0.562  0.820  0.221
O  0.633  0.106  0.449
O  0.671  0.329  0.750
O  0.684  0.060  0.923
O  0.812  0.849  0.535
O  0.820  0.562  0.721
O  0.849  0.812  0.035
O  0.894  0.367  0.051
O  0.920  0.080  0.250
O  0.940  0.316  0.577

---

First-principles (PBE) data for an optimized crystal structure of PmGeAsO, as listed in the Open Quantum Materials Database.

* symmetry: P4/nmm, No. 129
* relative energy among the computed polymorphs: 0.4995 eV per atom
* final energy: -5.717 eV per atom

Cell lengths 5.855, 5.855, 4.914 Å; angles 90.00, 90.00, 90.00 degrees
Positions (direct):
Pm  0.250  0.750  0.000
Pm  0.750  0.250  0.000
Ge  0.250  0.250  0.493
Ge  0.750  0.750  0.507
As  0.250  0.250  0.993
As  0.750  0.750  0.007
O  0.250  0.750  0.500
O  0.750  0.250  0.500

---

First-principles (PBE) data for an optimized crystal structure of Y2HoMg3Pt3, as listed in the Open Quantum Materials Database.

* symmetry: Amm2, No. 38
* final energy: -5.444 eV per atom

Cell lengths 4.075, 7.341, 7.341 Å; angles 119.74, 90.00, 90.00 degrees
Positions (direct):
Y  0.000  0.205  0.795
Y  0.000  0.795  0.205
Ho  0.000  0.386  0.386
Mg  0.500  0.040  0.040
Mg  0.500  0.549  0.795
Mg  0.500  0.795  0.549
Pt  0.000  0.792  0.792
Pt  0.500  0.131  0.461
Pt  0.500  0.461  0.131

---

First-principles (PBE) data for an optimized crystal structure of YErNb, as listed in the Open Quantum Materials Database.

* E_form: 2.42 eV per formula unit
* symmetry: F-43m, No. 216
* relative energy among the computed polymorphs: 0.0000 eV per atom
* final energy: -6.234 eV per atom

Cell lengths 5.058, 5.058, 5.058 Å; angles 60.00, 60.00, 60.00 degrees
Positions (direct):
Y  0.000  0.000  0.000
Er  0.500  0.500  0.500
Nb  0.750  0.750  0.750